The following is a DFT calculation (GGA-PBE) of CsCe2InS5 after structural relaxation.

Properties
- Formation energy (no corrections): -1.44 eV/atom
- Symmetry: I4/mcm (140)

a = 9.252 Å, b = 9.252 Å, c = 9.252 Å
α = 128.59°, β = 128.59°, γ = 75.67°
Sites, in units of the cell vectors:
Cs  0.250  0.250  0.000
Cs  0.750  0.750  0.000
Ce  0.161  0.661  0.823
Ce  0.339  0.161  0.500
Ce  0.661  0.839  0.500
Ce  0.839  0.339  0.177
In  0.250  0.750  0.500
In  0.750  0.250  0.500
S  0.000  0.000  0.000
S  0.023  0.235  0.500
S  0.235  0.735  0.212
S  0.265  0.477  0.500
S  0.477  0.977  0.212
S  0.500  0.500  0.000
S  0.523  0.023  0.788
S  0.735  0.523  0.500
S  0.765  0.265  0.788
S  0.977  0.765  0.500

=====

The following is a DFT calculation (GGA-PBE) of Cs3Ce2InS6 after structural relaxation.

Properties
- Formation energy (no corrections): -1.42 eV/atom
- Symmetry: C2/m (12)

a = 7.351 Å, b = 7.351 Å, c = 8.338 Å
α = 98.41°, β = 98.41°, γ = 119.99°
Sites, in units of the cell vectors:
Cs  0.000  0.000  0.000
Cs  0.338  0.662  0.000
Cs  0.662  0.338  0.000
Ce  0.167  0.833  0.500
Ce  0.833  0.167  0.500
In  0.500  0.500  0.500
S  0.099  0.439  0.317
S  0.221  0.221  0.680
S  0.439  0.099  0.317
S  0.561  0.901  0.683
S  0.779  0.779  0.320
S  0.901  0.561  0.683

=====

The following is a DFT calculation (GGA-PBE) of Cs2CeInS5 after structural relaxation.

Properties
- Formation energy (no corrections): -1.10 eV/atom
- Symmetry: Cmc2_1 (36)

a = 10.528 Å, b = 10.528 Å, c = 14.918 Å
α = 90.00°, β = 90.00°, γ = 157.55°
Sites, in units of the cell vectors:
Cs  0.120  0.880  0.500
Cs  0.137  0.863  0.129
Cs  0.863  0.137  0.629
Cs  0.880  0.120  0.000
Ce  0.203  0.797  0.835
Ce  0.797  0.203  0.335
In  0.436  0.564  0.251
In  0.564  0.436  0.751
S  0.061  0.939  0.851
S  0.295  0.705  0.451
S  0.316  0.684  0.208
S  0.330  0.670  0.820
S  0.497  0.503  0.114
S  0.503  0.497  0.614
S  0.670  0.330  0.320
S  0.684  0.316  0.708
S  0.705  0.295  0.951
S  0.939  0.061  0.351

=====

The following is a DFT calculation (GGA-PBE) of Cs3Ce2InSe6 after structural relaxation.

Properties
- Formation energy (no corrections): -1.37 eV/atom
- Symmetry: C2/m (12)

a = 7.666 Å, b = 7.666 Å, c = 8.642 Å
α = 98.42°, β = 98.42°, γ = 119.99°
Sites, in units of the cell vectors:
Cs  0.000  0.000  0.000
Cs  0.339  0.661  0.000
Cs  0.661  0.339  0.000
Ce  0.167  0.833  0.500
Ce  0.833  0.167  0.500
In  0.500  0.500  0.500
Se  0.094  0.438  0.314
Se  0.218  0.218  0.683
Se  0.438  0.094  0.314
Se  0.562  0.906  0.686
Se  0.782  0.782  0.317
Se  0.906  0.562  0.686

=====

The following is a DFT calculation (GGA-PBE) of CsCeInSe3 after structural relaxation.

Properties
- Formation energy (no corrections): -1.29 eV/atom
- Symmetry: P2_1/m (11)

a = 9.309 Å, b = 4.213 Å, c = 11.780 Å
α = 90.00°, β = 108.48°, γ = 90.00°
Sites, in units of the cell vectors:
Cs  0.241  0.250  0.282
Cs  0.759  0.750  0.718
Ce  0.349  0.750  0.848
Ce  0.651  0.250  0.152
In  0.122  0.250  0.572
In  0.878  0.750  0.428
Se  0.116  0.250  0.801
Se  0.331  0.750  0.594
Se  0.421  0.750  0.108
Se  0.579  0.250  0.892
Se  0.669  0.250  0.406
Se  0.884  0.750  0.199

=====

The following is a DFT calculation (GGA-PBE) of CsCeInSe4 after structural relaxation.

Properties
- Formation energy (no corrections): -1.17 eV/atom
- Symmetry: P2_1/m (11)

a = 7.018 Å, b = 7.182 Å, c = 10.103 Å
α = 90.00°, β = 109.53°, γ = 90.00°
Sites, in units of the cell vectors:
Cs  0.249  0.250  0.050
Cs  0.751  0.750  0.950
Ce  0.222  0.250  0.551
Ce  0.778  0.750  0.449
In  0.233  0.750  0.341
In  0.767  0.250  0.659
Se  0.032  0.518  0.691
Se  0.032  0.982  0.691
Se  0.446  0.750  0.180
Se  0.490  0.750  0.592
Se  0.510  0.250  0.408
Se  0.554  0.250  0.820
Se  0.968  0.018  0.309
Se  0.968  0.482  0.309

=====

The following is a DFT calculation (GGA-PBE) of Cs2CeInTe4 after structural relaxation.

Properties
- Formation energy (no corrections): -0.94 eV/atom
- Symmetry: I-42m (121)

a = 7.691 Å, b = 7.691 Å, c = 7.691 Å
α = 105.01°, β = 105.01°, γ = 118.83°
Sites, in units of the cell vectors:
Cs  0.000  0.500  0.500
Cs  0.500  0.000  0.500
Ce  0.000  0.000  0.000
In  0.500  0.500  0.000
Te  0.103  0.103  0.660
Te  0.443  0.443  0.340
Te  0.557  0.897  0.000
Te  0.897  0.557  0.000

=====

The following is a DFT calculation (GGA-PBE) of CsCeIrO6 after structural relaxation.

Properties
- Formation energy (no corrections): -1.64 eV/atom
- Symmetry: P312 (149)

a = 5.661 Å, b = 5.661 Å, c = 6.639 Å
α = 90.00°, β = 90.00°, γ = 120.00°
Sites, in units of the cell vectors:
Cs  0.000  0.000  0.000
Ce  0.333  0.667  0.500
Ir  0.667  0.333  0.500
O  0.400  0.041  0.664
O  0.400  0.359  0.336
O  0.641  0.041  0.336
O  0.641  0.600  0.664
O  0.959  0.359  0.664
O  0.959  0.600  0.336

=====

The following is a DFT calculation (GGA-PBE) of CsCe2IrO8 after structural relaxation.

Properties
- Formation energy (no corrections): -1.93 eV/atom
- Symmetry: P-1 (2)

a = 5.197 Å, b = 5.619 Å, c = 6.961 Å
α = 88.40°, β = 71.24°, γ = 76.99°
Sites, in units of the cell vectors:
Cs  0.000  0.000  0.000
Ce  0.351  0.547  0.273
Ce  0.649  0.453  0.727
Ir  0.500  0.000  0.500
O  0.152  0.241  0.576
O  0.272  0.445  0.029
O  0.330  0.723  0.607
O  0.435  0.936  0.256
O  0.565  0.064  0.744
O  0.670  0.277  0.393
O  0.728  0.555  0.971
O  0.848  0.759  0.424

=====

The following is a DFT calculation (GGA-PBE) of Cs2CeIrO6 after structural relaxation.

Properties
- Formation energy (no corrections): -1.72 eV/atom
- Symmetry: P-3m1 (164)

a = 6.703 Å, b = 6.703 Å, c = 5.834 Å
α = 90.00°, β = 90.00°, γ = 120.00°
Sites, in units of the cell vectors:
Cs  0.333  0.667  0.138
Cs  0.667  0.333  0.862
Ce  0.000  0.000  0.500
Ir  0.000  0.000  0.000
O  0.132  0.264  0.788
O  0.132  0.868  0.788
O  0.264  0.132  0.212
O  0.736  0.868  0.788
O  0.868  0.132  0.212
O  0.868  0.736  0.212

=====

The following is a DFT calculation (GGA-PBE) of CsK2Ce after structural relaxation.

Properties
- VASP energy: -6.798 eV/f.u.
- Symmetry: R-3m (166)

a = 16.816 Å, b = 16.816 Å, c = 16.816 Å
α = 14.02°, β = 14.02°, γ = 14.02°
Sites, in units of the cell vectors:
Cs  0.000  0.000  0.000
K  0.422  0.422  0.422
K  0.578  0.578  0.578
Ce  0.500  0.500  0.500

=====

The following is a DFT calculation (GGA-PBE) of CsKCeS3 after structural relaxation.

Properties
- Formation energy (no corrections): -1.52 eV/atom
- Symmetry: C2/c (15)

a = 8.611 Å, b = 8.611 Å, c = 7.429 Å
α = 95.24°, β = 95.24°, γ = 127.10°
Sites, in units of the cell vectors:
Cs  0.249  0.751  0.750
Cs  0.751  0.249  0.250
K  0.077  0.923  0.250
K  0.923  0.077  0.750
Ce  0.444  0.556  0.250
Ce  0.556  0.444  0.750
S  0.242  0.330  0.501
S  0.279  0.721  0.250
S  0.330  0.242  0.001
S  0.670  0.758  0.999
S  0.721  0.279  0.750
S  0.758  0.670  0.499